Entry 1:
## MgHPd3 (PBE)

Data for a geometry-optimized MgHPd3 structure.

Properties
electronic total energy	-4.5525	eV per atom
symmetry	P2/m (10)
spin magnetization	0.0	μB/f.u.

Cell and atoms, written as POSCAR:
```
MgHPd3
1.0
5.722 0.000 0.000
0.000 3.965 0.000
-2.860 0.000 5.752
Mg H Pd
2 2 6
Direct
0.135 0.000 0.267
0.865 0.000 0.733
0.364 0.500 0.729
0.636 0.500 0.271
0.000 0.500 0.500
0.242 0.500 0.000
0.375 0.000 0.750
0.500 0.500 0.500
0.625 0.000 0.250
0.758 0.500 0.000
```


Entry 2:
## Nd3Th4Sb8 (PBE)

Data for a geometry-optimized Nd3Th4Sb8 structure.

Properties
electronic total energy	-6.0463	eV per atom
E_form (uncorrected)	-0.92	eV per atom
symmetry	C2/m (12)
spin magnetization	0.0	μB/f.u.

Cell and atoms, written as POSCAR:
```
Nd3Th4Sb8
1.0
6.351 -6.375 0.000
6.351 6.375 0.000
-6.348 0.000 6.393
Nd Th Sb
3 4 8
Direct
0.000 0.000 0.000
0.000 0.500 0.000
0.500 0.000 0.000
0.000 0.000 0.500
0.000 0.500 0.500
0.500 0.000 0.500
0.500 0.500 0.000
0.250 0.750 0.000
0.253 0.253 0.003
0.253 0.747 0.500
0.256 0.256 0.502
0.744 0.744 0.498
0.747 0.253 0.500
0.747 0.747 0.997
0.750 0.250 0.000
```


Entry 3:
## Sm3CuSnS7 (PBE)

Data for a geometry-optimized Sm3CuSnS7 structure.

Properties
electronic total energy	-5.7006	eV per atom
E_form (uncorrected)	-1.44	eV per atom
symmetry	P6_3 (173)
spin magnetization	0.0	μB/f.u.

Cell and atoms, written as POSCAR:
```
Sm3CuSnS7
1.0
9.953 0.000 0.000
-4.976 8.619 0.000
0.000 0.000 6.281
Sm Cu Sn S
6 2 2 14
Direct
0.147 0.788 0.000
0.212 0.359 0.000
0.359 0.147 0.500
0.641 0.853 0.000
0.788 0.641 0.500
0.853 0.212 0.500
0.000 0.000 0.400
0.000 0.000 0.900
0.333 0.667 0.568
0.667 0.333 0.068
0.084 0.519 0.744
0.110 0.852 0.429
0.148 0.258 0.429
0.258 0.110 0.929
0.333 0.667 0.186
0.435 0.916 0.744
0.481 0.565 0.744
0.519 0.435 0.244
0.565 0.084 0.244
0.667 0.333 0.686
0.742 0.890 0.429
0.852 0.742 0.929
0.890 0.148 0.929
0.916 0.481 0.244
```


Entry 4:
## Ga2AsO6 (PBE)

Data for a geometry-optimized Ga2AsO6 structure.

Properties
electronic total energy	-5.8601	eV per atom
E_form (uncorrected)	-1.37	eV per atom
symmetry	P4_2/mnm (136)
spin magnetization	0.5	μB/f.u.

Cell and atoms, written as POSCAR:
```
Ga2AsO6
1.0
4.549 0.000 0.000
0.000 4.549 0.000
0.000 0.000 8.867
Ga As O
4 2 12
Direct
0.000 0.000 0.167
0.000 0.000 0.833
0.500 0.500 0.333
0.500 0.500 0.667
0.000 0.000 0.500
0.500 0.500 0.000
0.189 0.189 0.343
0.189 0.189 0.657
0.208 0.208 0.000
0.292 0.708 0.500
0.311 0.689 0.157
0.311 0.689 0.843
0.689 0.311 0.157
0.689 0.311 0.843
0.708 0.292 0.500
0.792 0.792 0.000
0.811 0.811 0.343
0.811 0.811 0.657
```